# 1
# PBE YTeWI2, optimized geometry
# - excess energy over the best structure of this formula in the dataset (eV per formula unit) = 0.00
# - spin magnetization (μB/f.u.) = 2.80
data_YTeWI2
_chemical_formula_sum 'Y1 Te1 W1 I2'
_cell_length_a 5.425
_cell_length_b 5.425
_cell_length_c 5.475
_cell_angle_alpha 90.00
_cell_angle_beta 90.00
_cell_angle_gamma 90.00
_space_group_name_H-M_alt 'P 4/m m m'
_space_group_IT_number 123
_space_group_name_Hall '-P 4 2'
loop_
_atom_site_label
_atom_site_fract_x
_atom_site_fract_y
_atom_site_fract_z
Y1 0.000 0.000 0.000
Te1 0.500 0.500 0.000
W1 0.500 0.500 0.500
I1 0.000 0.500 0.500

=====

# 2
# PBE CeNd2In, optimized geometry
# - excess energy over the best structure of this formula in the dataset (eV per formula unit) = 0.64
# - spin magnetization (μB/f.u.) = 1.06
# - energy of formation (meV per atom) = -65
data_CeNd2In
_chemical_formula_sum 'Ce3 Nd6 In3'
_cell_length_a 3.6085
_cell_length_b 3.6085
_cell_length_c 33.5909
_cell_angle_alpha 90.00
_cell_angle_beta 90.00
_cell_angle_gamma 120.00
_space_group_name_H-M_alt 'R 3 m'
_space_group_IT_number 160
_space_group_name_Hall 'R 3 -2"'
loop_
_atom_site_label
_atom_site_fract_x
_atom_site_fract_y
_atom_site_fract_z
Ce1 0.0000 0.0000 0.0000
Nd1 0.0000 0.0000 0.5799
Nd2 0.0000 0.0000 0.7543
In1 0.0000 0.0000 0.1670

=====

# 3
# PBE Ac2Tl3Cu, optimized geometry
# - excess energy over the best structure of this formula in the dataset (eV per formula unit) = 0.00
# - spin magnetization (μB/f.u.) = 0.00
# - energy of formation (meV per atom) = -244
data_Ac2Tl3Cu
_chemical_formula_sum 'Ac2 Tl3 Cu1'
_cell_length_a 4.109
_cell_length_b 5.037
_cell_length_c 8.802
_cell_angle_alpha 90.00
_cell_angle_beta 90.00
_cell_angle_gamma 90.00
_space_group_name_H-M_alt 'P m m 2'
_space_group_IT_number 25
loop_
_space_group_symop_operation_xyz
'x,y,z'
'-x,-y,z'
'-x,y,z'
'x,-y,z'
loop_
_atom_site_label
_atom_site_fract_x
_atom_site_fract_y
_atom_site_fract_z
Ac1 0.000 0.000 0.000
Ac2 0.000 0.500 0.479
Tl1 0.500 0.000 0.628
Tl2 0.500 0.500 0.173
Tl3 0.500 0.500 0.823
Cu1 0.500 0.000 0.310

=====

How do the records compare in volume? In the order shown, they have 161.13; 378.80; 182.16 Å³ per cell.